{"formula": "Gd2TiH", "functional": "GGA-PBE", "state": "relaxed", "dos_ef_per_ev_cell": 4.80, "magmom_total_mub_per_fu": 16.436, "energy_ev_per_atom": -9.617, "lattice_angstrom": [[1.640, 0.947, 8.921], [-1.640, 0.947, 8.921], [0.000, -1.893, 8.921]], "species": ["Gd", "Gd", "Ti", "H"], "frac_coords": [[0.110, 0.110, 0.110], [0.890, 0.890, 0.890], [0.000, 0.000, 0.000], [0.500, 0.500, 0.500]]}